Material: Sm3DyN3
Method: DFT, PBE
State: relaxed

The structure in POSCAR format:
```
Sm3DyN3
1.0
-4.304 -3.847 -5.204
1.190 -4.949 3.994
-4.690 3.727 2.444
N Sm Dy
6 6 2
Direct
0.211 0.006 0.006
0.789 0.994 0.994
0.399 0.521 0.796
0.601 0.479 0.204
0.601 0.204 0.479
0.399 0.796 0.521
0.641 0.678 0.678
0.359 0.322 0.322
0.000 0.833 0.167
0.500 0.200 0.800
0.500 0.800 0.200
0.000 0.167 0.833
0.198 0.692 0.692
0.802 0.308 0.308
```

Calculated values
- SG: No. 12
- ΔE_f (raw): -1.0001 eV/atom
- V: 297.1 Å³/cell